# SmY12Co6, relaxed, DFT PBE-GGA
data_SmY12Co6
_chemical_formula_sum 'Sm2 Y24 Co12'
_space_group_name_H-M_alt 'I m -3'
_space_group_IT_number 204
_space_group_name_Hall '-I 2 2 3'
_cell_length_a 9.8260
_cell_length_b 9.8260
_cell_length_c 9.8260
_cell_angle_alpha 90.00
_cell_angle_beta 90.00
_cell_angle_gamma 90.00
loop_
_atom_site_label
_atom_site_type_symbol
_atom_site_fract_x
_atom_site_fract_y
_atom_site_fract_z
Sm1 Sm 0.0000 0.0000 0.0000
Y1 Y 0.0000 0.3089 0.1939
Co1 Co 0.0000 0.1123 0.5000
# Total DFT energy (no corrections) = -6.70 eV per atom
# Volume = 25.0 A^3/atom